A relaxed Pr4CCl3F2 crystal. Source: OQMD via LeMat-Bulk, functional PBE-GGA.

The structure in CIF format:
```
data_Pr4CCl3F2
_chemical_formula_sum 'Pr8 C2 Cl6 F4'
_cell_length_a 16.1781
_cell_length_b 3.8648
_cell_length_c 8.1412
_cell_angle_alpha 90.00
_cell_angle_beta 106.78
_cell_angle_gamma 90.00
_space_group_name_H-M_alt 'C 1 2/m 1'
_space_group_IT_number 12
loop_
_space_group_symop_operation_xyz
'x,y,z'
'-x,-y,-z'
'-x,y,-z'
'x,-y,z'
'x+1/2,y+1/2,z'
'-x+1/2,-y+1/2,-z'
'-x+1/2,y+1/2,-z'
'x+1/2,-y+1/2,z'
loop_
_atom_site_label
_atom_site_type_symbol
_atom_site_fract_x
_atom_site_fract_y
_atom_site_fract_z
Pr1 Pr 0.0080 0.0000 0.2898
Pr2 Pr 0.1602 0.5000 0.5995
C1 C 0.0000 0.5000 0.5000
Cl1 Cl 0.0000 0.5000 0.0000
Cl2 Cl 0.1763 0.0000 0.8560
F1 F 0.1764 0.0000 0.4141
```

ρ = 4.91 g cm⁻³
DFT total energy = -116.3 eV per cell
Magnetization = 0.00 μB per atom

***

A relaxed Pr2Sm2CCl2F3 crystal. Source: OQMD via LeMat-Bulk, functional PBE-GGA.

The structure in CIF format:
```
data_Pr2Sm2CCl2F3
_chemical_formula_sum 'Pr4 Sm4 C2 Cl4 F6'
_cell_length_a 15.5486
_cell_length_b 3.7348
_cell_length_c 6.9696
_cell_angle_alpha 90.00
_cell_angle_beta 100.77
_cell_angle_gamma 90.00
_space_group_name_H-M_alt 'C 1 2/m 1'
_space_group_IT_number 12
loop_
_space_group_symop_operation_xyz
'x,y,z'
'-x,-y,-z'
'-x,y,-z'
'x,-y,z'
'x+1/2,y+1/2,z'
'-x+1/2,-y+1/2,-z'
'-x+1/2,y+1/2,-z'
'x+1/2,-y+1/2,z'
loop_
_atom_site_label
_atom_site_type_symbol
_atom_site_fract_x
_atom_site_fract_y
_atom_site_fract_z
Pr1 Pr 0.0281 0.0000 0.2662
Sm1 Sm 0.1568 0.5000 0.6370
C1 C 0.0000 0.5000 0.5000
Cl1 Cl 0.1552 0.0000 0.9325
F1 F 0.0000 0.5000 0.0000
F2 F 0.1885 0.0000 0.4348
```

ρ = 6.03 g cm⁻³
DFT total energy = -119.8 eV per cell
Magnetization = 0.01 μB per atom

***

A relaxed Pr2Sm2CCl3F2 crystal. Source: OQMD via LeMat-Bulk, functional PBE-GGA.

The structure in CIF format:
```
data_Pr2Sm2CCl3F2
_chemical_formula_sum 'Pr4 Sm4 C2 Cl6 F4'
_cell_length_a 15.7867
_cell_length_b 3.8115
_cell_length_c 8.1921
_cell_angle_alpha 90.00
_cell_angle_beta 105.67
_cell_angle_gamma 90.00
_space_group_name_H-M_alt 'C 1 2/m 1'
_space_group_IT_number 12
loop_
_space_group_symop_operation_xyz
'x,y,z'
'-x,-y,-z'
'-x,y,-z'
'x,-y,z'
'x+1/2,y+1/2,z'
'-x+1/2,-y+1/2,-z'
'-x+1/2,y+1/2,-z'
'x+1/2,-y+1/2,z'
loop_
_atom_site_label
_atom_site_type_symbol
_atom_site_fract_x
_atom_site_fract_y
_atom_site_fract_z
Pr1 Pr 0.0093 0.0000 0.2902
Sm1 Sm 0.1594 0.5000 0.5947
C1 C 0.0000 0.5000 0.5000
Cl1 Cl 0.0000 0.5000 0.0000
Cl2 Cl 0.1802 0.0000 0.8435
F1 F 0.1808 0.0000 0.4234
```

ρ = 5.17 g cm⁻³
DFT total energy = -116.5 eV per cell
Magnetization = 0.00 μB per atom

***

A relaxed Sm4C2Cl3F2 crystal. Source: OQMD via LeMat-Bulk, functional PBE-GGA.

The structure in CIF format:
```
data_Sm4C2Cl3F2
_chemical_formula_sum 'Sm8 C4 Cl6 F4'
_cell_length_a 18.2867
_cell_length_b 3.7633
_cell_length_c 7.5273
_cell_angle_alpha 90.00
_cell_angle_beta 106.73
_cell_angle_gamma 90.00
_space_group_name_H-M_alt 'C 1 2/m 1'
_space_group_IT_number 12
loop_
_space_group_symop_operation_xyz
'x,y,z'
'-x,-y,-z'
'-x,y,-z'
'x,-y,z'
'x+1/2,y+1/2,z'
'-x+1/2,-y+1/2,-z'
'-x+1/2,y+1/2,-z'
'x+1/2,-y+1/2,z'
loop_
_atom_site_label
_atom_site_type_symbol
_atom_site_fract_x
_atom_site_fract_y
_atom_site_fract_z
Sm1 Sm 0.0014 0.0000 0.2898
Sm2 Sm 0.1656 0.5000 0.6396
C1 C 0.0403 0.5000 0.5324
Cl1 Cl 0.0000 0.5000 0.0000
Cl2 Cl 0.1676 0.0000 0.3505
F1 F 0.1698 0.0000 0.8204
```

ρ = 5.15 g cm⁻³
DFT total energy = -135.6 eV per cell
Magnetization = 0.00 μB per atom

***

A relaxed Sm4CCl2F3 crystal. Source: OQMD via LeMat-Bulk, functional PBE-GGA.

The structure in CIF format:
```
data_Sm4CCl2F3
_chemical_formula_sum 'Sm8 C2 Cl4 F6'
_cell_length_a 15.4658
_cell_length_b 3.6283
_cell_length_c 6.9003
_cell_angle_alpha 90.00
_cell_angle_beta 105.20
_cell_angle_gamma 90.00
_space_group_name_H-M_alt 'C 1 2/m 1'
_space_group_IT_number 12
loop_
_space_group_symop_operation_xyz
'x,y,z'
'-x,-y,-z'
'-x,y,-z'
'x,-y,z'
'x+1/2,y+1/2,z'
'-x+1/2,-y+1/2,-z'
'-x+1/2,y+1/2,-z'
'x+1/2,-y+1/2,z'
loop_
_atom_site_label
_atom_site_type_symbol
_atom_site_fract_x
_atom_site_fract_y
_atom_site_fract_z
Sm1 Sm 0.0235 0.0000 0.2713
Sm2 Sm 0.1627 0.5000 0.6527
C1 C 0.0000 0.5000 0.5000
Cl1 Cl 0.1564 0.0000 0.9563
F1 F 0.0000 0.5000 0.0000
F2 F 0.1846 0.0000 0.4278
```

ρ = 6.59 g cm⁻³
DFT total energy = -119.7 eV per cell
Magnetization = 0.04 μB per atom

***

A relaxed Sm4C2Cl2F3 crystal. Source: OQMD via LeMat-Bulk, functional PBE-GGA.

The structure in CIF format:
```
data_Sm4C2Cl2F3
_chemical_formula_sum 'Sm8 C4 Cl4 F6'
_cell_length_a 16.6062
_cell_length_b 3.6486
_cell_length_c 6.7445
_cell_angle_alpha 90.00
_cell_angle_beta 104.77
_cell_angle_gamma 90.00
_space_group_name_H-M_alt 'C 1 2/m 1'
_space_group_IT_number 12
loop_
_space_group_symop_operation_xyz
'x,y,z'
'-x,-y,-z'
'-x,y,-z'
'x,-y,z'
'x+1/2,y+1/2,z'
'-x+1/2,-y+1/2,-z'
'-x+1/2,y+1/2,-z'
'x+1/2,-y+1/2,z'
loop_
_atom_site_label
_atom_site_type_symbol
_atom_site_fract_x
_atom_site_fract_y
_atom_site_fract_z
Sm1 Sm 0.0173 0.0000 0.2736
Sm2 Sm 0.1801 0.5000 0.6749
C1 C 0.0438 0.5000 0.5440
Cl1 Cl 0.1560 0.0000 0.9761
F1 F 0.0000 0.5000 0.0000
F2 F 0.1869 0.0000 0.4432
```

ρ = 6.33 g cm⁻³
DFT total energy = -139.5 eV per cell
Magnetization = 0.01 μB per atom